# 1
! YAlNi (PBE, optimized geometry); values from VASP
! symmetry = P-6m2 (187)
! DFT total energy = -17.46 eV/f.u.
! crystal system = hexagonal
! formation enthalpy at 0 K = -490 meV per atom
&SYSTEM
  ibrav = 0, nat = 3, ntyp = 3
/
ATOMIC_SPECIES
Y 88.91 Y.upf
Al 26.98 Al.upf
Ni 58.69 Ni.upf
CELL_PARAMETERS angstrom
4.244 0.000 0.000
-2.122 3.675 0.000
0.000 0.000 3.738
ATOMIC_POSITIONS crystal
Y 0.000 0.000 0.000
Al 0.333 0.667 0.500
Ni 0.667 0.333 0.500

***

# 2
! CaLa2Mn (PBE, optimized geometry); values from VASP
! symmetry = I-42d (122)
! DFT total energy = -19.21 eV/f.u.
! crystal system = tetragonal
! formation enthalpy at 0 K = 454 meV per atom
&SYSTEM
  ibrav = 0, nat = 8, ntyp = 3
/
ATOMIC_SPECIES
Ca 40.08 Ca.upf
La 138.91 La.upf
Mn 54.94 Mn.upf
CELL_PARAMETERS angstrom
-3.852 3.852 5.394
3.852 -3.852 5.394
3.852 3.852 -5.394
ATOMIC_POSITIONS crystal
Ca 0.000 0.000 0.000
Ca 0.750 0.250 0.500
La 0.334 0.625 0.209
La 0.375 0.584 0.709
La 0.416 0.125 0.791
La 0.875 0.666 0.291
Mn 0.250 0.750 0.500
Mn 0.500 0.500 0.000

***

# 3
! PtPbWSe2 (PBE, optimized geometry); values from VASP
! symmetry = P4/mmm (123)
! raw formation energy = 1.26 eV/atom
! DFT total energy = -23.37 eV/f.u.
! crystal system = tetragonal
&SYSTEM
  ibrav = 0, nat = 5, ntyp = 4
/
ATOMIC_SPECIES
Pt 195.08 Pt.upf
Pb 207.20 Pb.upf
W 183.84 W.upf
Se 78.96 Se.upf
CELL_PARAMETERS angstrom
4.999 0.000 0.000
0.000 4.999 0.000
0.000 0.000 5.241
ATOMIC_POSITIONS crystal
Pt 0.000 0.000 0.000
Pb 0.000 0.000 0.500
W 0.500 0.500 0.500
Se 0.000 0.500 0.000
Se 0.500 0.000 0.000

***

# 4
! La4PrTm2 (PBE, optimized geometry); values from VASP
! symmetry = Imma (74)
! DFT total energy = -31.82 eV/f.u.
! crystal system = orthorhombic
! formation enthalpy at 0 K = 230 meV per atom
&SYSTEM
  ibrav = 0, nat = 14, ntyp = 3
/
ATOMIC_SPECIES
La 138.91 La.upf
Pr 140.91 Pr.upf
Tm 168.93 Tm.upf
CELL_PARAMETERS angstrom
-3.504 5.820 6.059
3.504 -5.820 6.059
3.504 5.820 -6.059
ATOMIC_POSITIONS crystal
La 0.158 0.154 0.003
La 0.259 0.227 0.468
La 0.259 0.791 0.032
La 0.349 0.846 0.503
La 0.651 0.154 0.497
La 0.741 0.209 0.968
La 0.741 0.773 0.532
La 0.842 0.846 0.997
Pr 0.000 0.000 0.500
Pr 0.000 0.500 0.000
Tm 0.000 0.500 0.500
Tm 0.466 0.716 0.750
Tm 0.500 0.500 0.000
Tm 0.534 0.284 0.250

***

# 5
! Pr4Er3Mg (PBE, optimized geometry); values from VASP
! symmetry = P4/mmm (123)
! DFT total energy = -34.43 eV/f.u.
! crystal system = tetragonal
! formation enthalpy at 0 K = -4 meV per atom
&SYSTEM
  ibrav = 0, nat = 8, ntyp = 3
/
ATOMIC_SPECIES
Pr 140.91 Pr.upf
Er 167.26 Er.upf
Mg 24.30 Mg.upf
CELL_PARAMETERS angstrom
3.659 0.000 0.000
0.000 3.659 0.000
0.000 0.000 19.471
ATOMIC_POSITIONS crystal
Pr 0.000 0.000 0.115
Pr 0.000 0.000 0.372
Pr 0.000 0.000 0.628
Pr 0.000 0.000 0.885
Er 0.500 0.500 0.243
Er 0.500 0.500 0.500
Er 0.500 0.500 0.757
Mg 0.500 0.500 0.000

***

# 6
! Rb3La2SnSe6 (PBE, optimized geometry); values from VASP
! symmetry = C2/m (12)
! raw formation energy = -1.42 eV/atom
! DFT total energy = -54.73 eV/f.u.
! crystal system = monoclinic
&SYSTEM
  ibrav = 0, nat = 12, ntyp = 4
/
ATOMIC_SPECIES
Rb 85.47 Rb.upf
La 138.91 La.upf
Sn 118.71 Sn.upf
Se 78.96 Se.upf
CELL_PARAMETERS angstrom
3.822 -6.620 0.000
3.822 6.620 0.000
-2.549 0.000 8.001
ATOMIC_POSITIONS crystal
Rb 0.000 0.000 0.000
Rb 0.333 0.667 0.000
Rb 0.667 0.333 0.000
La 0.167 0.833 0.500
La 0.833 0.167 0.500
Sn 0.500 0.500 0.500
Se 0.109 0.433 0.300
Se 0.242 0.242 0.699
Se 0.433 0.109 0.300
Se 0.567 0.891 0.700
Se 0.758 0.758 0.301
Se 0.891 0.567 0.700

***

# 7
! TlAg2HgAu (PBE, optimized geometry); values from VASP
! symmetry = P4/mmm (123)
! DFT total energy = -8.61 eV/f.u.
! crystal system = tetragonal
! formation enthalpy at 0 K = 607 meV per atom
&SYSTEM
  ibrav = 0, nat = 5, ntyp = 4
/
ATOMIC_SPECIES
Tl 204.38 Tl.upf
Ag 107.87 Ag.upf
Hg 200.59 Hg.upf
Au 196.97 Au.upf
CELL_PARAMETERS angstrom
5.405 0.000 0.000
0.000 5.405 0.000
0.000 0.000 5.314
ATOMIC_POSITIONS crystal
Tl 0.000 0.000 0.000
Ag 0.000 0.500 0.000
Ag 0.500 0.000 0.000
Hg 0.500 0.500 0.500
Au 0.000 0.000 0.500

***

# 8
! TmScGe (PBE, optimized geometry); values from VASP
! symmetry = Amm2 (38)
! DFT total energy = -16.96 eV/f.u.
! crystal system = orthorhombic
! formation enthalpy at 0 K = -513 meV per atom
&SYSTEM
  ibrav = 0, nat = 18, ntyp = 3
/
ATOMIC_SPECIES
Tm 168.93 Tm.upf
Sc 44.96 Sc.upf
Ge 72.64 Ge.upf
CELL_PARAMETERS angstrom
6.156 0.000 0.000
0.000 7.284 4.562
0.000 -7.284 4.562
ATOMIC_POSITIONS crystal
Tm 0.000 0.000 0.000
Tm 0.000 0.491 0.751
Tm 0.000 0.751 0.491
Tm 0.500 0.048 0.776
Tm 0.500 0.444 0.444
Tm 0.500 0.776 0.048
Sc 0.251 0.093 0.409
Sc 0.251 0.409 0.093
Sc 0.500 0.399 0.755
Sc 0.500 0.755 0.399
Sc 0.749 0.093 0.409
Sc 0.749 0.409 0.093
Ge 0.000 0.159 0.756
Ge 0.000 0.343 0.343
Ge 0.000 0.756 0.159
Ge 0.295 0.730 0.730
Ge 0.500 0.134 0.134
Ge 0.705 0.730 0.730

***

Q: What is the formula in the fourth record?
A: La4PrTm2

***

Q: Which of these has the highest DFT total energy?
A: TlAg2HgAu